Density functional theory data (GGA-PBE) for a geometry-optimized La15Dy4Er structure.

Summary:
Total DFT energy (no corrections), Ry per atom: -0.35545
ΔH_f (0 K), eV/atom: 0.008
Magnetization, Bohr magnetons per cell: 0.00

Lattice parameters (Å, degrees): 5.2054 5.2054 26.0309 90.00 90.00 90.00
Last column: nearest neighbours and their distance in Å.
Atoms (fractional coordinates):
La (0.5000, 0.5000, 0.0000)  8 La 3.67, 4 Er 3.68
La (0.5000, 0.5000, 0.1996)  8 La 3.68, 4 Dy 3.68
La (0.5000, 0.5000, 0.3997)  4 Dy 3.68, 8 La 3.68-3.69
La (0.5000, 0.5000, 0.6003)  4 Dy 3.68, 8 La 3.68-3.69
La (0.5000, 0.5000, 0.8004)  8 La 3.68, 4 Dy 3.68
La (0.5000, 0.0000, 0.0996)  8 La 3.67-3.68, 2 Er 3.67, 2 Dy 3.68
La (0.5000, 0.0000, 0.2996)  8 La 3.68, 4 Dy 3.68
La (0.5000, 0.0000, 0.5000)  8 La 3.68-3.69, 4 Dy 3.69
La (0.5000, 0.0000, 0.7004)  8 La 3.68, 4 Dy 3.68
La (0.5000, 0.0000, 0.9004)  8 La 3.67-3.68, 2 Er 3.67, 2 Dy 3.68
La (0.0000, 0.5000, 0.0996)  8 La 3.67-3.68, 2 Er 3.67, 2 Dy 3.68
La (0.0000, 0.5000, 0.2996)  8 La 3.68, 4 Dy 3.68
La (0.0000, 0.5000, 0.5000)  8 La 3.68-3.69, 4 Dy 3.69
La (0.0000, 0.5000, 0.7004)  8 La 3.68, 4 Dy 3.68
La (0.0000, 0.5000, 0.9004)  8 La 3.67-3.68, 2 Er 3.67, 2 Dy 3.68
Dy (0.0000, 0.0000, 0.1995)  12 La 3.68
Dy (0.0000, 0.0000, 0.3998)  12 La 3.68-3.69
Dy (0.0000, 0.0000, 0.6002)  12 La 3.68-3.69
Dy (0.0000, 0.0000, 0.8005)  12 La 3.68
Er (0.0000, 0.0000, 0.0000)  12 La 3.67-3.68

Density functional theory data (GGA-PBE) for a geometry-optimized La3Dy6Er structure.

Summary:
Total DFT energy (no corrections), Ry per atom: -0.33397
Energy relative to the lowest polymorph listed for this composition, meV per atom: 0
ΔH_f (0 K), eV/atom: 0.152
Magnetization, Bohr magnetons per cell: 0.00

Lattice parameters (Å, degrees): 6.3756 11.0203 11.0203 119.95 90.00 90.00
Last column: nearest neighbours and their distance in Å.
Atoms (fractional coordinates):
La (0.4673, 0.9402, 0.7126)  1 Er 3.29, 6 Dy 3.30-3.55, 1 La 3.66
La (0.9673, 0.7126, 0.9402)  1 Er 3.29, 6 Dy 3.30-3.55, 1 La 3.66
La (0.0699, 0.3875, 0.6125)  7 Dy 3.48-3.80, 2 La 3.66, 1 Er 3.71
La (0.5699, 0.6125, 0.3875)  7 Dy 3.48-3.80, 2 La 3.66, 1 Er 3.71
La (0.9673, 0.0598, 0.2874)  1 Er 3.29, 6 Dy 3.30-3.55, 1 La 3.66
La (0.4673, 0.2874, 0.0598)  1 Er 3.29, 6 Dy 3.30-3.55, 1 La 3.66
Dy (0.0501, 0.7151, 0.6224)  4 La 3.43-3.80, 5 Dy 3.43-3.82
Dy (0.5501, 0.6224, 0.7151)  4 La 3.43-3.80, 5 Dy 3.43-3.82
Dy (0.3693, 0.5295, 0.9509)  5 Dy 3.19-3.53, 2 La 3.30-3.49, 1 Er 3.30
Dy (0.8693, 0.9509, 0.5295)  5 Dy 3.19-3.53, 2 La 3.30-3.49, 1 Er 3.30
Dy (0.3754, 0.9624, 0.0376)  1 Er 3.38, 2 Dy 3.50, 4 La 3.51-3.54
Dy (0.6440, 0.2738, 0.7262)  4 Dy 3.19-3.42, 1 Er 3.41, 1 La 3.48
Dy (0.1440, 0.7262, 0.2738)  4 Dy 3.19-3.42, 1 Er 3.41, 1 La 3.48
Dy (0.8754, 0.0376, 0.9624)  1 Er 3.38, 2 Dy 3.50, 4 La 3.51-3.54
Dy (0.3693, 0.0491, 0.4705)  5 Dy 3.19-3.53, 2 La 3.30-3.49, 1 Er 3.30
Dy (0.8693, 0.4705, 0.0491)  5 Dy 3.19-3.53, 2 La 3.30-3.49, 1 Er 3.30
Dy (0.0501, 0.3776, 0.2849)  4 La 3.43-3.80, 5 Dy 3.43-3.82
Dy (0.5501, 0.2849, 0.3776)  4 La 3.43-3.80, 5 Dy 3.43-3.82
Er (0.1226, 0.1940, 0.8060)  2 La 3.29, 7 Dy 3.30-3.66
Er (0.6226, 0.8060, 0.1940)  2 La 3.29, 7 Dy 3.30-3.66

Question: Among the records above, which one has the lowest total DFT energy (no corrections)?
Answer: La15Dy4Er

Question: ΔH_f (0 K) of number 2 (La3Dy6Er)?
Answer: 0.152 eV/atom

Question: What is the magnetization in the second record?
Answer: 0.00 Bohr magnetons per cell